Entry from Alexandria via LeMat-Bulk: a relaxed structure of Ac2PmNd9 (GGA-PBE).

Computed properties:
Its energy relative to the elements is 0.114 eV per atom. Its spin magnetization is 0.00 μB per formula unit.

a = 6.187 Å, b = 6.187 Å, c = 11.490 Å
α = 90.00°, β = 90.00°, γ = 90.00°
Space group P4/mmm (No. 123)
One atom of each set of equivalent atoms:
Ac  0.000  0.000  0.171 (multiplicity 2)
Pm  0.000  0.000  0.500 (multiplicity 1)
Nd  0.000  0.500  0.000 (multiplicity 2)
Nd  0.000  0.500  0.341 (multiplicity 4)
Nd  0.500  0.500  0.164 (multiplicity 2)
Nd  0.500  0.500  0.500 (multiplicity 1)